## CeHoThSc (GGA-PBE)

Data for an optimized crystal structure of CeHoThSc.

## Properties
The value obtained for the calculated volume is 116.0 Å³/cell. The value obtained for the energy relative to the lowest polymorph listed for this composition is 0 meV per atom. The value obtained for the energy of formation is 0.036 eV/atom.

CIF file:
```
data_CeHoThSc
_chemical_formula_sum 'Ce1 Ho1 Th1 Sc1'
_space_group_name_H-M_alt 'P 1'
_space_group_IT_number 1
_space_group_name_Hall 'P 1'
_cell_length_a 3.480
_cell_length_b 3.480
_cell_length_c 11.245
_cell_angle_alpha 89.99
_cell_angle_beta 98.93
_cell_angle_gamma 120.00
loop_
_atom_site_label
_atom_site_type_symbol
_atom_site_fract_x
_atom_site_fract_y
_atom_site_fract_z
Ce1 Ce 0.134 0.964 0.114
Ho1 Ho 0.974 0.385 0.374
Th1 Th 0.300 0.548 0.863
Sc1 Sc 0.471 0.133 0.619
```